Below is crystalline Ba3CoTe2O9 at its relaxed geometry, with properties calculated at the PBE with a Hubbard U level.

a b c (Å): 5.9360 5.9360 7.2864
angles (deg): 90.00 90.00 120.00
Closest atoms and distances in Å follow each position.
Space group P-3m1 (No. 164)
One atom of each set of equivalent atoms:
Ba (0.0000, 0.0000, 0.0000) (multiplicity 1)  12 O 2.97-2.98
Ba (0.3333, 0.6667, 0.6641) (multiplicity 2)  12 O 2.95-2.99
Co (0.0000, 0.0000, 0.5000) (multiplicity 1)  6 O 2.16
Te (0.3333, 0.6667, 0.1788) (multiplicity 2)  6 O 1.99-2.15
O (0.0000, 0.5000, 0.0000) (multiplicity 3)  2 Te 2.15
O (0.1720, 0.3441, 0.3299) (multiplicity 6)  1 Te 1.99, 1 Co 2.16

Output
VASP energy: -5.96 eV per atom
total moment: 2.84 μB per cell